Entry 1:
ScMoCl2: relaxed, GGA-PBE.

a = 2.987 Å, b = 2.987 Å, c = 10.818 Å
α = 90.00°, β = 90.00°, γ = 90.00°
Element x y z (fractional)
Cl (0.000, 0.000, 0.895)
Cl (0.000, 0.000, 0.605)
Sc (0.500, 0.500, 0.750)
Mo (0.500, 0.500, 0.250)

- N(E_F) (states/eV/atom) = 1.085
- polymorph energy (0 for the lowest one) (meV/atom) = 671
- calculated volume (Å³/cell) = 96.5
- total magnetic moment (μB per formula unit) = 1.55
- space-group type = P4/mmm
- energy relative to the elements, uncorrected (kJ/mol of atoms) = -13.43

***

Entry 2:
SrNiAsPd: relaxed, GGA-PBE.

a = 3.956 Å, b = 3.956 Å, c = 10.623 Å
α = 90.00°, β = 90.00°, γ = 90.00°
Element x y z (fractional)
Pd (0.750, 0.250, 0.500)
Pd (0.250, 0.750, 0.500)
Sr (0.250, 0.250, 0.729)
Sr (0.750, 0.750, 0.271)
As (0.250, 0.250, 0.121)
As (0.750, 0.750, 0.879)
Ni (0.250, 0.750, 0.000)
Ni (0.750, 0.250, 0.000)

- N(E_F) (states/eV/atom) = 0.863
- calculated volume (Å³/cell) = 166.2
- total magnetic moment (μB per formula unit) = 0.00
- space-group type = P4/nmm
- DFT formation energy (eV per atom) = -0.54

***

Entry 3:
YHg2SbC: relaxed, GGA-PBE.

a = 4.668 Å, b = 5.023 Å, c = 4.668 Å
α = 90.00°, β = 90.00°, γ = 90.00°
Element x y z (fractional)
Hg (0.000, 0.000, 0.500)
Hg (0.500, 0.000, 0.000)
Sb (0.500, 0.500, 0.500)
Y (0.000, 0.500, 0.000)
C (0.000, 0.000, 0.000)

- N(E_F) (states/eV/atom) = 0.324
- calculated volume (Å³/cell) = 109.4
- total magnetic moment (μB per formula unit) = 0.00
- space-group type = P4/mmm
- energy relative to the elements, uncorrected (kJ/mol of atoms) = 25.50

***

Entry 4:
Ti3HgB: relaxed, GGA-PBE.

a = 4.931 Å, b = 4.931 Å, c = 4.931 Å
α = 90.00°, β = 90.00°, γ = 90.00°
Element x y z (fractional)
Ti (0.000, 0.500, 0.000)
Ti (0.500, 0.000, 0.000)
Ti (0.000, 0.000, 0.500)
B (0.500, 0.500, 0.500)
Hg (0.000, 0.000, 0.000)

- N(E_F) (states/eV/atom) = 1.266
- polymorph energy (0 for the lowest one) (meV/atom) = 2191
- calculated volume (Å³/cell) = 119.9
- total magnetic moment (μB per formula unit) = 1.12
- space-group type = Pm-3m
- DFT formation energy (eV per atom) = 1.90

***

Entry 5:
LiTl2Cr2Se6: relaxed, GGA-PBE.

a = 6.615 Å, b = 6.615 Å, c = 7.530 Å
α = 98.10°, β = 98.10°, γ = 121.52°
Element x y z (fractional)
Se (0.699, 0.699, 0.684)
Se (0.058, 0.427, 0.694)
Se (0.301, 0.301, 0.316)
Se (0.427, 0.058, 0.694)
Se (0.942, 0.573, 0.306)
Se (0.573, 0.942, 0.306)
Li (0.000, 0.000, 0.500)
Cr (0.330, 0.670, 0.500)
Cr (0.670, 0.330, 0.500)
Tl (0.844, 0.156, 0.000)
Tl (0.156, 0.844, 0.000)

- N(E_F) (states/eV/atom) = 0.565
- calculated volume (Å³/cell) = 268.9
- total magnetic moment (μB per formula unit) = 4.04
- space-group type = C2/m
- energy relative to the elements, uncorrected (kJ/mol of atoms) = -45.70

***

Entry 6:
SrGa2Pt: relaxed, GGA-PBE.

a = 4.813 Å, b = 4.813 Å, c = 4.813 Å
α = 60.00°, β = 60.00°, γ = 60.00°
Element x y z (fractional)
Ga (0.250, 0.250, 0.250)
Ga (0.750, 0.750, 0.750)
Sr (0.000, 0.000, 0.000)
Pt (0.500, 0.500, 0.500)

- N(E_F) (states/eV/atom) = 0.283
- calculated volume (Å³/cell) = 78.8
- total magnetic moment (μB per formula unit) = 0.00
- space-group type = Fm-3m
- DFT formation energy (eV per atom) = -0.43

***

Entry 7:
LiCa2AlZn6: relaxed, GGA-PBE.

a = 6.872 Å, b = 6.930 Å, c = 6.864 Å
α = 81.76°, β = 42.98°, γ = 97.09°
Element x y z (fractional)
Zn (0.751, 0.927, 0.824)
Zn (0.260, 0.756, 0.998)
Zn (0.754, 0.755, 0.503)
Zn (0.740, 0.244, 0.002)
Zn (0.246, 0.245, 0.497)
Zn (0.249, 0.073, 0.176)
Ca (0.255, 0.708, 0.548)
Ca (0.745, 0.292, 0.452)
Li (0.500, 0.500, 0.000)
Al (0.000, 0.000, 0.000)

- N(E_F) (states/eV/atom) = 0.398
- calculated volume (Å³/cell) = 207.5
- total magnetic moment (μB per formula unit) = 0.00
- space-group type = P-1
- DFT formation energy (eV per atom) = -0.14

***

Entry 8:
KBe2VCl8: relaxed, GGA-PBE.

a = 5.963 Å, b = 5.963 Å, c = 10.159 Å
α = 72.93°, β = 72.93°, γ = 60.00°
Element x y z (fractional)
Cl (0.619, 0.269, 0.148)
Cl (0.193, 0.193, 0.422)
Cl (0.036, 0.381, 0.852)
Cl (0.807, 0.807, 0.578)
Cl (0.731, 0.036, 0.852)
Cl (0.381, 0.731, 0.852)
Cl (0.964, 0.619, 0.148)
Cl (0.269, 0.964, 0.148)
K (0.500, 0.500, 0.500)
Be (0.261, 0.261, 0.217)
Be (0.739, 0.739, 0.783)
V (0.000, 0.000, 0.000)

- N(E_F) (states/eV/atom) = 0.380
- calculated volume (Å³/cell) = 294.4
- total magnetic moment (μB per formula unit) = 2.00
- space-group type = R-3
- energy relative to the elements, uncorrected (kJ/mol of atoms) = -135.27

***

Entry 9:
TeRu2C: relaxed, GGA-PBE.

a = 4.309 Å, b = 4.309 Å, c = 4.309 Å
α = 60.00°, β = 60.00°, γ = 60.00°
Element x y z (fractional)
Ru (0.250, 0.250, 0.250)
Ru (0.750, 0.750, 0.750)
Te (0.500, 0.500, 0.500)
C (0.000, 0.000, 0.000)

- N(E_F) (states/eV/atom) = 0.771
- polymorph energy (0 for the lowest one) (meV/atom) = 837
- calculated volume (Å³/cell) = 56.6
- total magnetic moment (μB per formula unit) = 0.00
- space-group type = Fm-3m
- energy relative to the elements, uncorrected (kJ/mol of atoms) = 114.85

***

Entry 10:
BaTaCd2: relaxed, GGA-PBE.

a = 5.379 Å, b = 5.379 Å, c = 5.379 Å
α = 60.00°, β = 60.00°, γ = 60.00°
Element x y z (fractional)
Ba (0.000, 0.000, 0.000)
Cd (0.750, 0.750, 0.750)
Cd (0.250, 0.250, 0.250)
Ta (0.500, 0.500, 0.500)

- N(E_F) (states/eV/atom) = 1.203
- polymorph energy (0 for the lowest one) (meV/atom) = 344
- calculated volume (Å³/cell) = 110.1
- total magnetic moment (μB per formula unit) = 2.29
- space-group type = Fm-3m
- DFT formation energy (eV per atom) = 0.66

***

Entry 11:
Dy2TmAl2Pd5: relaxed, GGA-PBE.

a = 3.712 Å, b = 10.142 Å, c = 10.142 Å
α = 90.00°, β = 90.00°, γ = 90.00°
Element x y z (fractional)
Tm (0.000, 0.500, 0.500)
Tm (0.000, 0.000, 0.000)
Pd (0.500, 0.000, 0.500)
Pd (0.500, 0.934, 0.215)
Pd (0.500, 0.285, 0.566)
Pd (0.500, 0.566, 0.715)
Pd (0.500, 0.434, 0.285)
Pd (0.500, 0.715, 0.434)
Pd (0.500, 0.215, 0.066)
Pd (0.500, 0.785, 0.934)
Pd (0.500, 0.066, 0.785)
Pd (0.500, 0.500, 0.000)
Al (0.000, 0.120, 0.620)
Al (0.000, 0.380, 0.120)
Al (0.000, 0.880, 0.380)
Al (0.000, 0.620, 0.880)
Dy (0.000, 0.824, 0.676)
Dy (0.000, 0.324, 0.824)
Dy (0.000, 0.176, 0.324)
Dy (0.000, 0.676, 0.176)

- N(E_F) (states/eV/atom) = 0.761
- calculated volume (Å³/cell) = 381.8
- total magnetic moment (μB per formula unit) = 0.00
- space-group type = P4/mbm
- DFT formation energy (eV per atom) = -0.88

***

Entry 12:
Ti3N2O3: relaxed, GGA-PBE.

a = 5.314 Å, b = 5.314 Å, c = 10.052 Å
α = 90.00°, β = 90.00°, γ = 138.47°
Element x y z (fractional)
N (0.698, 0.302, 0.576)
N (0.953, 0.047, 0.883)
N (0.302, 0.698, 0.076)
N (0.047, 0.953, 0.383)
O (0.315, 0.685, 0.422)
O (0.246, 0.754, 0.761)
O (0.754, 0.246, 0.261)
O (0.044, 0.956, 0.120)
O (0.685, 0.315, 0.922)
O (0.956, 0.044, 0.620)
Ti (0.865, 0.135, 0.050)
Ti (0.195, 0.805, 0.246)
Ti (0.135, 0.865, 0.550)
Ti (0.867, 0.133, 0.442)
Ti (0.133, 0.867, 0.942)
Ti (0.805, 0.195, 0.746)

- N(E_F) (states/eV/atom) = 0.000
- polymorph energy (0 for the lowest one) (meV/atom) = 47
- calculated volume (Å³/cell) = 188.2
- total magnetic moment (μB per formula unit) = 0.00
- space-group type = Cmc2_1
- energy relative to the elements, uncorrected (kJ/mol of atoms) = -219.86

***

Ordered electronic total energy results: -5.353; -4.870; -3.818; -4.234; -4.728; -3.875; -1.875; -4.105; -6.539; -3.238; -5.588; -9.180; unit eV per atom.